Here is an optimized crystal structure of TbScBe from OQMD. Energies are from PBE.

```
3
Lattice="1.7222 -0.0544 4.2576 1.5874 3.8760 1.8849 -2.3053 1.9949 3.4354" Properties=species:S:1:pos:R:3 pbc="T T T"
Be 0.2511 1.4541 2.3945
Sc 0.0000 0.0000 0.0000
Tb 0.7532 4.3623 7.1834
```

Summary:
total DFT energy (no corrections): -4.032 eV/atom
space-group type: F-43m, No. 216
size of the total moment: 0.00 μB/cell

***

Here is an optimized crystal structure of Sc2BeTc from OQMD. Energies are from PBE.

```
4
Lattice="-0.0001 3.1758 3.1758 3.1758 -0.0001 3.1758 3.1758 3.1758 -0.0001" Properties=species:S:1:pos:R:3 pbc="T T T"
Be 3.1758 3.1758 3.1758
Sc 0.0000 0.0000 0.0000
Sc 4.7636 4.7636 4.7636
Tc 1.5879 1.5879 1.5879
```

Summary:
total DFT energy (no corrections): -6.581 eV/atom
space-group type: F-43m, No. 216
size of the total moment: 0.16 μB/cell

***

What did the second record say?
Here is an optimized crystal structure of Sc2BeTc from OQMD. Energies are from PBE.

```
4
Lattice="-0.0001 3.1758 3.1758 3.1758 -0.0001 3.1758 3.1758 3.1758 -0.0001" Properties=species:S:1:pos:R:3 pbc="T T T"
Be 3.1758 3.1758 3.1758
Sc 0.0000 0.0000 0.0000
Sc 4.7636 4.7636 4.7636
Tc 1.5879 1.5879 1.5879
```

Summary:
total DFT energy (no corrections): -6.581 eV/atom
space-group type: F-43m, No. 216
size of the total moment: 0.16 μB/cell

***

Number 1 is which compound? TbScBe

***

Which of these has the highest size of the total moment? Sc2BeTc